SbCl2 | PBE | optimized geometry

Results
**SG**: Cm (8)
**E above lowest polymorph**: 134 meV/atom
**ρ**: 3.15 Mg/m³
**Spin magnetization**: 0.00 μB per cell

a b c (Å): 7.7371 7.7371 8.8839
angles (deg): 64.24 64.24 25.28
With the nearest neighbours (Å) after each atom.
Atoms (fractional coordinates):
Sb 0.9015 0.9015 0.5786  2 Cl 2.42
Sb 0.2686 0.2686 0.1021  1 Cl 2.38
Cl 0.7296 0.7296 0.7847  1 Sb 2.42
Cl 0.6173 0.6173 0.3059  2 Sb 2.77
Cl 0.9658 0.9658 0.7843  1 Sb 2.42
Cl 0.3504 0.3504 0.2777  1 Sb 2.38